(1)
A plane-wave DFT calculation with PBE was carried out for a relaxed TlSbTe2O crystal.

Cell: 5.7000 5.7000 5.7997 Å, 90.00 90.00 90.00°
With the nearest neighbours (Å) after each atom.
Element x y z (fractional)
Sb 0.0000 0.0000 0.5000  2 Tl 2.90
Tl 0.0000 0.0000 0.0000  4 Te 2.85, 2 Sb 2.90
Te 0.0000 0.5000 0.0000  2 Tl 2.85
Te 0.5000 0.0000 0.0000  2 Tl 2.85
O 0.5000 0.5000 0.5000  4 Sb 4.03, 8 Te 4.07

***

(2)
A plane-wave DFT calculation with PBE was carried out for a relaxed Sm6TeP3S2 crystal.

Cell: 4.1176 8.3368 9.2836 Å, 103.75 102.81 90.00°
With the nearest neighbours (Å) after each atom.
Element x y z (fractional)
Sm 0.3241 0.9185 0.6482  3 P 2.80-2.90, 2 S 2.97, 1 Te 3.09
Sm 0.6651 0.5880 0.3301  3 P 2.89-2.90, 3 S 2.93-2.96
Sm 0.6759 0.0815 0.3518  3 P 2.80-2.90, 2 S 2.97, 1 Te 3.09
Sm 0.9990 0.2739 0.9980  3 P 2.79-2.88, 1 S 2.99, 2 Te 3.08
Sm 0.0010 0.7261 0.0020  3 P 2.79-2.88, 1 S 2.99, 2 Te 3.08
Sm 0.3349 0.4120 0.6699  3 P 2.89-2.90, 3 S 2.93-2.96
Te 0.5000 0.0000 0.0000  6 Sm 3.08-3.09
P 0.5000 0.5000 0.0000  6 Sm 2.79-2.90
P 0.8354 0.1689 0.6707  6 Sm 2.80-2.90
P 0.1646 0.8311 0.3293  6 Sm 2.80-2.90
S 0.8316 0.6653 0.6631  6 Sm 2.93-2.99
S 0.1684 0.3347 0.3369  6 Sm 2.93-2.99

***

(3)
A plane-wave DFT calculation with PBE was carried out for a relaxed Li2Ce2Ga3 crystal.

Cell: 4.4220 7.0793 9.6798 Å, 90.00 103.20 90.00°
With the nearest neighbours (Å) after each atom.
Element x y z (fractional)
Li 0.6893 0.9391 0.3785  4 Ga 2.59-2.75, 1 Li 2.68
Li 0.3107 0.0609 0.6215  4 Ga 2.59-2.75, 1 Li 2.68
Li 0.3107 0.4391 0.6215  4 Ga 2.59-2.75, 1 Li 2.68
Li 0.6893 0.5609 0.3785  4 Ga 2.59-2.75, 1 Li 2.68
Ce 0.1568 0.2500 0.3137  6 Ga 3.12-3.16, 6 Li 3.18-3.19
Ce 0.8432 0.7500 0.6863  6 Ga 3.12-3.16, 6 Li 3.18-3.19
Ce 0.9484 0.2500 0.8968  9 Ga 3.17-3.32
Ce 0.0516 0.7500 0.1032  9 Ga 3.17-3.32
Ga 0.2234 0.7500 0.4469  6 Li 2.66-2.75
Ga 0.7766 0.2500 0.5531  6 Li 2.66-2.75
Ga 0.5612 0.4297 0.1224  2 Ga 2.51-2.54, 1 Li 2.59
Ga 0.4388 0.5703 0.8776  2 Ga 2.51-2.54, 1 Li 2.59
Ga 0.4388 0.9297 0.8776  2 Ga 2.51-2.54, 1 Li 2.59
Ga 0.5612 0.0703 0.1224  2 Ga 2.51-2.54, 1 Li 2.59

***

(4)
A plane-wave DFT calculation with PBE was carried out for a relaxed La4InOs crystal.

Cell: 6.3315 9.2311 8.3002 Å, 114.57 100.19 111.58°
With the nearest neighbours (Å) after each atom.
Element x y z (fractional)
La 0.0833 0.2017 0.8466  2 Os 3.03-3.09, 1 In 3.36
La 0.7707 0.7178 0.6614  2 Os 2.99-3.00
La 0.2633 0.6449 0.8466  2 Os 3.03-3.09, 1 In 3.36
La 0.3907 0.9436 0.6614  2 Os 2.99-3.00
La 0.6093 0.0564 0.3386  2 Os 2.99-3.00
La 0.7367 0.3551 0.1534  2 Os 3.03-3.09, 1 In 3.36
La 0.2293 0.2822 0.3386  2 Os 2.99-3.00
La 0.9167 0.7983 0.1534  2 Os 3.03-3.09, 1 In 3.36
In 0.3718 0.6218 0.2436  8 La 3.36-3.59
In 0.6282 0.3782 0.7564  8 La 3.36-3.59
Os 0.2506 0.0006 0.0013  8 La 2.99-3.09, 2 Os 3.17
Os 0.7494 0.9994 0.9987  8 La 2.99-3.09, 2 Os 3.17

***

no.,total energy (eV per atom)
1,-2.21
2,-6.40
3,-3.91
4,-5.90